# PBE ZnCd3Au5, relaxed
# Total magnetic moment, μB per atom: 0.0000
data_ZnCd3Au5
_cell_length_a 8.1295
_cell_length_b 8.1295
_cell_length_c 11.1852
_cell_angle_alpha 90.00
_cell_angle_beta 90.00
_cell_angle_gamma 90.00
_symmetry_space_group_name_H-M 'I 4/m c m'
_symmetry_Int_Tables_number 140
_symmetry_space_group_name_Hall '-I 4 2c'
loop_
_atom_site_label
_atom_site_fract_x
_atom_site_fract_y
_atom_site_fract_z
Zn1 0.0000 0.5000 0.2500
Cd1 0.0000 0.0000 0.2500
Cd2 0.1171 0.3829 0.0000
Au1 0.0000 0.0000 0.0000
Au2 0.1919 0.3081 0.3603

=====

# PBE ZnCd2Au2, relaxed
# Total magnetic moment, μB per atom: 0.0000
# E above lowest polymorph, kcal/mol of atoms: 4.38
data_ZnCd2Au2
_cell_length_a 3.8631
_cell_length_b 3.8631
_cell_length_c 14.6039
_cell_angle_alpha 90.00
_cell_angle_beta 90.00
_cell_angle_gamma 90.00
_symmetry_space_group_name_H-M 'I 4/m m m'
_symmetry_Int_Tables_number 139
_symmetry_space_group_name_Hall '-I 4 2'
loop_
_atom_site_label
_atom_site_fract_x
_atom_site_fract_y
_atom_site_fract_z
Zn1 0.0000 0.0000 0.0000
Cd1 0.0000 0.0000 0.4014
Au1 0.0000 0.5000 0.2500

=====

# PBE Zn4CdAu6, relaxed
# Total magnetic moment, μB per atom: 0.0000
data_Zn4CdAu6
_cell_length_a 5.4193
_cell_length_b 5.4193
_cell_length_c 13.7426
_cell_angle_alpha 90.00
_cell_angle_beta 90.00
_cell_angle_gamma 90.00
_symmetry_space_group_name_H-M 'I -4 2 m'
_symmetry_Int_Tables_number 121
_symmetry_space_group_name_Hall 'I -4 2'
loop_
_atom_site_label
_atom_site_fract_x
_atom_site_fract_y
_atom_site_fract_z
Zn1 0.1987 0.1987 0.1365
Cd1 0.0000 0.0000 0.5000
Au1 0.0000 0.5000 0.0000
Au2 0.2192 0.2192 0.3247

=====

# PBE ZnCdAu, relaxed
# Total magnetic moment, μB per atom: 0.0000
# E above lowest polymorph, kcal/mol of atoms: 1.18
data_ZnCdAu
_cell_length_a 6.3822
_cell_length_b 6.3822
_cell_length_c 6.3822
_cell_angle_alpha 90.00
_cell_angle_beta 90.00
_cell_angle_gamma 90.00
_symmetry_space_group_name_H-M 'F -4 3 m'
_symmetry_Int_Tables_number 216
_symmetry_space_group_name_Hall 'F -4 2 3'
loop_
_atom_site_label
_atom_site_fract_x
_atom_site_fract_y
_atom_site_fract_z
Zn1 0.0000 0.0000 0.0000
Cd1 0.0000 0.0000 0.5000
Au1 0.2500 0.2500 0.7500

=====

# PBE ZnCd2Au, relaxed
# Total magnetic moment, μB per atom: 0.0000
data_ZnCd2Au
_cell_length_a 3.2593
_cell_length_b 4.5257
_cell_length_c 5.3899
_cell_angle_alpha 90.00
_cell_angle_beta 100.37
_cell_angle_gamma 90.00
_symmetry_space_group_name_H-M 'P 1 m 1'
_symmetry_Int_Tables_number 6
_symmetry_space_group_name_Hall 'P -2y'
loop_
_atom_site_label
_atom_site_fract_x
_atom_site_fract_y
_atom_site_fract_z
Zn1 0.0000 0.0000 0.0000
Cd1 0.4560 0.5000 0.8129
Cd2 0.6730 0.0000 0.4757
Au1 0.1203 0.5000 0.2778

=====

# PBE Zr2CdAu6, relaxed
# Total magnetic moment, μB per atom: 0.0000
data_Zr2CdAu6
_cell_length_a 5.0594
_cell_length_b 15.4974
_cell_length_c 5.0701
_cell_angle_alpha 90.00
_cell_angle_beta 119.50
_cell_angle_gamma 90.00
_symmetry_space_group_name_H-M 'C 1 2/m 1'
_symmetry_Int_Tables_number 12
_symmetry_space_group_name_Hall '-C 2y'
loop_
_atom_site_label
_atom_site_fract_x
_atom_site_fract_y
_atom_site_fract_z
Zr1 0.0000 0.1616 0.0000
Cd1 0.0000 0.0000 0.5000
Au1 0.1624 0.3300 0.3277
Au2 0.1653 0.5000 0.8277

=====

# PBE Zr3CdAu2, relaxed
# Total magnetic moment, μB per atom: 0.0000
# E above lowest polymorph, kcal/mol of atoms: 8.78
data_Zr3CdAu2
_cell_length_a 2.9810
_cell_length_b 5.3961
_cell_length_c 16.5371
_cell_angle_alpha 90.00
_cell_angle_beta 90.00
_cell_angle_gamma 90.00
_symmetry_space_group_name_H-M 'I m m m'
_symmetry_Int_Tables_number 71
_symmetry_space_group_name_Hall '-I 2 2'
loop_
_atom_site_label
_atom_site_fract_x
_atom_site_fract_y
_atom_site_fract_z
Zr1 0.0000 0.0000 0.0000
Zr2 0.0000 0.5000 0.1799
Cd1 0.0000 0.5000 0.0000
Au1 0.0000 0.5000 0.3498

=====

# PBE Zr4CdAu, relaxed
# Total magnetic moment, μB per atom: 0.0000
# E above lowest polymorph, kcal/mol of atoms: 0.00
data_Zr4CdAu
_cell_length_a 3.1988
_cell_length_b 3.1988
_cell_length_c 12.9037
_cell_angle_alpha 90.00
_cell_angle_beta 90.00
_cell_angle_gamma 90.00
_symmetry_space_group_name_H-M 'P 4/m m m'
_symmetry_Int_Tables_number 123
_symmetry_space_group_name_Hall '-P 4 2'
loop_
_atom_site_label
_atom_site_fract_x
_atom_site_fract_y
_atom_site_fract_z
Zr1 0.0000 0.0000 0.1531
Zr2 0.5000 0.5000 0.3245
Cd1 0.0000 0.0000 0.5000
Au1 0.5000 0.5000 0.0000

=====

E_form values, unit eV per atom, following the record order: 0.01 0.04 -0.08 -0.10 -0.08 -0.43 0.02 -0.25.